Crystalline Sm3Zn4Sn4 at its relaxed geometry, computed with PBE.

Values from the calculation:
The value obtained for the total moment is 0.00 Bohr magnetons per cell. As for the density of states at the Fermi level: 3.338 states/eV/f.u. The total energy comes out at -0.1336 Ha/atom.

Geometry as CIF:
```
data_Sm3Zn4Sn4
_cell_length_a 13.9238
_cell_length_b 13.9238
_cell_length_c 13.9238
_cell_angle_alpha 162.51
_cell_angle_beta 161.26
_cell_angle_gamma 25.74
_space_group_name_H-M_alt 'P 1'
_space_group_IT_number 1
_space_group_name_Hall 'P 1'
loop_
_atom_site_label
_atom_site_type_symbol
_atom_site_fract_x
_atom_site_fract_y
_atom_site_fract_z
Sm1 Sm 0.0000 0.0000 0.0000
Sm2 Sm 0.3551 0.8551 0.5000
Sm3 Sm 0.6449 0.1449 0.5000
Zn1 Zn 0.0952 0.5952 0.5000
Zn2 Zn 0.2534 0.2534 0.0000
Zn3 Zn 0.7466 0.7466 0.0000
Zn4 Zn 0.9048 0.4048 0.5000
Sn1 Sn 0.1903 0.6903 0.5000
Sn2 Sn 0.4486 0.4486 0.0000
Sn3 Sn 0.5514 0.5514 0.0000
Sn4 Sn 0.8097 0.3097 0.5000
```